(1)
PBE BaGe4S2, relaxed; mass density = 3.28 g/cm3; raw formation energy = 0.67 eV/atom; size of the total moment = 0.0 μB per formula unit
1.0
-3.0041 3.0041 6.9091
3.0041 -3.0041 6.9091
3.0041 3.0041 -6.9091
Ba Ge S
1 4 2
direct
0.0000 0.0000 0.0000 Ba
0.0000 0.5000 0.5000 Ge
0.2346 0.2346 0.0000 Ge
0.5000 0.0000 0.5000 Ge
0.7654 0.7654 0.0000 Ge
0.3875 0.3875 0.0000 S
0.6125 0.6125 0.0000 S


(2)
PBE LiErSbAu, relaxed; mass density = 9.23 g/cm3; raw formation energy = -0.74 eV/atom; size of the total moment = 0.0 μB per formula unit
1.0
0.0000 3.5392 3.5392
3.5392 0.0000 3.5392
3.5392 3.5392 0.0000
Li Er Sb Au
1 1 1 1
direct
0.0000 0.0000 0.0000 Li
0.5000 0.5000 0.5000 Er
0.7500 0.7500 0.7500 Sb
0.2500 0.2500 0.2500 Au


(3)
PBE Tm6Al43V4, relaxed; mass density = 4.33 g/cm3; energy of formation from the pure elements = -0.306 eV per atom; size of the total moment = 0.0 μB per formula unit
1.0
10.9578 0.0000 0.0000
-5.4789 9.4898 0.0000
0.0000 0.0000 17.5543
Tm Al V
12 86 8
direct
0.0000 0.4706 0.0959 Tm
0.0000 0.4706 0.4041 Tm
0.0000 0.5294 0.5959 Tm
0.0000 0.5294 0.9041 Tm
0.4706 0.0000 0.0959 Tm
0.4706 0.0000 0.4041 Tm
0.4706 0.4706 0.5959 Tm
0.4706 0.4706 0.9041 Tm
0.5294 0.0000 0.5959 Tm
0.5294 0.0000 0.9041 Tm
0.5294 0.5294 0.0959 Tm
0.5294 0.5294 0.4041 Tm
0.0000 0.1466 0.7500 Al
0.0000 0.1561 0.1156 Al
0.0000 0.1561 0.3844 Al
0.0000 0.2527 0.5291 Al
0.0000 0.2527 0.9709 Al
0.0000 0.7473 0.0291 Al
0.0000 0.7473 0.4709 Al
0.0000 0.8439 0.6156 Al
0.0000 0.8439 0.8844 Al
0.0000 0.8534 0.2500 Al
0.1452 0.5485 0.2500 Al
0.1452 0.5966 0.7500 Al
0.1466 0.0000 0.7500 Al
0.1466 0.1466 0.2500 Al
0.1561 0.0000 0.1156 Al
0.1561 0.0000 0.3844 Al
0.1561 0.1561 0.6156 Al
0.1561 0.1561 0.8844 Al
0.1589 0.3929 0.6644 Al
0.1589 0.3929 0.8356 Al
0.1589 0.7661 0.1644 Al
0.1589 0.7661 0.3356 Al
0.2339 0.3929 0.1644 Al
0.2339 0.3929 0.3356 Al
0.2339 0.8411 0.6644 Al
0.2339 0.8411 0.8356 Al
0.2467 0.4934 0.0000 Al
0.2467 0.4934 0.5000 Al
0.2467 0.7533 0.0000 Al
0.2467 0.7533 0.5000 Al
0.2527 0.0000 0.5291 Al
0.2527 0.0000 0.9709 Al
0.2527 0.2527 0.0291 Al
0.2527 0.2527 0.4709 Al
0.3333 0.6667 0.1262 Al
0.3333 0.6667 0.3738 Al
0.3333 0.6667 0.6262 Al
0.3333 0.6667 0.8738 Al
0.3929 0.1589 0.6644 Al
0.3929 0.1589 0.8356 Al
0.3929 0.2339 0.1644 Al
0.3929 0.2339 0.3356 Al
0.4034 0.5485 0.7500 Al
0.4034 0.8548 0.2500 Al
0.4515 0.5966 0.2500 Al
0.4515 0.8548 0.7500 Al
0.4934 0.2467 0.0000 Al
0.4934 0.2467 0.5000 Al
0.5066 0.7533 0.0000 Al
0.5066 0.7533 0.5000 Al
0.5485 0.1452 0.2500 Al
0.5485 0.4034 0.7500 Al
0.5966 0.1452 0.7500 Al
0.5966 0.4515 0.2500 Al
0.6071 0.7661 0.6644 Al
0.6071 0.7661 0.8356 Al
0.6071 0.8411 0.1644 Al
0.6071 0.8411 0.3356 Al
0.6667 0.3333 0.1262 Al
0.6667 0.3333 0.3738 Al
0.6667 0.3333 0.6262 Al
0.6667 0.3333 0.8738 Al
0.7473 0.0000 0.0291 Al
0.7473 0.0000 0.4709 Al
0.7473 0.7473 0.5291 Al
0.7473 0.7473 0.9709 Al
0.7533 0.2467 0.0000 Al
0.7533 0.2467 0.5000 Al
0.7533 0.5066 0.0000 Al
0.7533 0.5066 0.5000 Al
0.7661 0.1589 0.1644 Al
0.7661 0.1589 0.3356 Al
0.7661 0.6071 0.6644 Al
0.7661 0.6071 0.8356 Al
0.8411 0.2339 0.6644 Al
0.8411 0.2339 0.8356 Al
0.8411 0.6071 0.1644 Al
0.8411 0.6071 0.3356 Al
0.8439 0.0000 0.6156 Al
0.8439 0.0000 0.8844 Al
0.8439 0.8439 0.1156 Al
0.8439 0.8439 0.3844 Al
0.8534 0.0000 0.2500 Al
0.8534 0.8534 0.7500 Al
0.8548 0.4034 0.2500 Al
0.8548 0.4515 0.7500 Al
0.0000 0.0000 0.0000 V
0.0000 0.0000 0.5000 V
0.0000 0.2695 0.2500 V
0.0000 0.7305 0.7500 V
0.2695 0.0000 0.2500 V
0.2695 0.2695 0.7500 V
0.7305 0.0000 0.7500 V
0.7305 0.7305 0.2500 V


(4)
PBE BaIn2Pt, relaxed; mass density = 8.22 g/cm3; energy of formation from the pure elements = -0.411 eV per atom; size of the total moment = 0.0 μB per formula unit
1.0
-1.8567 2.8880 5.2929
1.8567 -2.8880 5.2929
1.8567 2.8880 -5.2929
Ba In Pt
1 2 1
direct
0.0000 0.0000 0.0000 Ba
0.3018 0.8018 0.5000 In
0.6982 0.1982 0.5000 In
0.5000 0.5000 0.0000 Pt


no.,density of states at the Fermi level (states/eV per atom)
1,0.72
2,0.38
3,0.36
4,0.67